1.
DFT (PBE) results for a relaxed structure of MgHgBr.

Unit cell a=7.260 b=7.001 c=3.580 alpha=79.52 beta=71.48 gamma=29.00
Fractional coordinates of all 3 atoms:
Hg  0.302  0.302  0.698
Br  0.038  0.038  0.962
Mg  0.660  0.660  0.340

Properties
Volume = 81.8 Å³/cell
Symmetry = Fmm2, No. 42
Theoretical density = 6.19 g cm⁻³
Relative energy among the computed polymorphs = 0.44 eV/f.u.
E_form (uncorrected) = -0.4927 eV per atom

2.
DFT (PBE) results for a relaxed structure of AgSnICl2.

Unit cell a=5.658 b=8.186 c=8.246 alpha=112.82 beta=90.00 gamma=90.00
Fractional coordinates of all 10 atoms:
Cl  0.750  0.583  0.356
Ag  0.750  0.364  0.573
I  0.750  0.069  0.265
Sn  0.250  0.692  0.934
Cl  0.750  0.605  0.891
Sn  0.750  0.308  0.066
Ag  0.250  0.636  0.427
I  0.250  0.931  0.735
Cl  0.250  0.395  0.109
Cl  0.250  0.417  0.644

Properties
Volume = 352.1 Å³/cell
Symmetry = P2_1/m, No. 11
Theoretical density = 4.00 g cm⁻³
E_form (uncorrected) = -0.6174 eV per atom